Run 1
VASP calculation (PBE) on a relaxed Al2HgAu crystal.

Cell and atoms, written as extended XYZ:
```
4
Lattice="-3.159 -1.537 2.449 0.846 -3.957 -1.393 2.606 -0.513 3.039" Properties=species:S:1:pos:R:3 pbc="T T T"
Au -0.276 -1.025 2.744
Hg 1.726 -2.235 0.823
Al 0.000 0.000 0.000
Al -1.156 -2.747 0.528
```

Its space group is P4/mmm (123).

---

Run 2
VASP calculation (PBE) on a relaxed Al2HgAu crystal.

Cell and atoms, written as extended XYZ:
```
4
Lattice="-0.069 4.792 0.132 -0.634 2.501 -4.041 -4.108 2.360 -0.739" Properties=species:S:1:pos:R:3 pbc="T T T"
Au -2.405 4.827 -2.324
Hg -3.608 7.240 -3.486
Al 0.000 0.000 0.000
Al -1.203 2.413 -1.162
```

Its space group is F-43m (216).

---

Run 3
VASP calculation (PBE) on a relaxed Al2HgAu crystal.

Cell and atoms, written as extended XYZ:
```
4
Lattice="6.804 0.044 -0.039 4.831 4.792 0.039 -5.509 -3.160 2.443" Properties=species:S:1:pos:R:3 pbc="T T T"
Au 6.172 2.565 0.000
Hg 3.131 2.258 1.241
Al 11.273 4.685 0.000
Al 3.003 -0.579 1.202
```

Its space group is Imm2 (44).

---

Stability, descending: run 3, run 1, run 2